# RuBr2

An optimized crystal structure of RuBr2 (PBE, Alexandria via LeMat-Bulk).

- ΔE_f (raw) (eV per atom) = 0.1044
- total energy (eV per atom) = -4.103
- distance to the lowest polymorph of the same formula (meV per atom) = 170

Cell: 6.277 6.277 6.277 Å, 90.00 90.00 90.00°
Positions (direct):
Ru1 0.000 0.000 0.000
Ru2 0.000 0.500 0.500
Ru3 0.500 0.000 0.500
Ru4 0.500 0.500 0.000
Br1 0.152 0.652 0.848
Br2 0.152 0.848 0.348
Br3 0.348 0.152 0.848
Br4 0.348 0.348 0.348
Br5 0.652 0.652 0.652
Br6 0.652 0.848 0.152
Br7 0.848 0.152 0.652
Br8 0.848 0.348 0.152

***

# BaPtPb

An optimized crystal structure of BaPtPb (PBE, Alexandria via LeMat-Bulk).

- total energy (eV per atom) = -3.615
- formation energy (eV/atom) = 0.276

Cell: 5.313 5.313 5.313 Å, 60.00 60.00 60.00°
Positions (direct):
Ba1 0.000 0.000 0.000
Pt1 0.250 0.250 0.250
Pb1 0.750 0.750 0.750

***

# Nd12HgPd6

An optimized crystal structure of Nd12HgPd6 (PBE, Alexandria via LeMat-Bulk).

- total energy (eV per atom) = -5.042
- formation energy (eV/atom) = -0.375

Cell: 8.754 8.754 8.754 Å, 103.37 103.37 103.37°
Positions (direct):
Nd1 0.070 0.669 0.924
Nd2 0.076 0.930 0.331
Nd3 0.169 0.409 0.559
Nd4 0.331 0.076 0.930
Nd5 0.409 0.559 0.169
Nd6 0.441 0.831 0.591
Nd7 0.559 0.169 0.409
Nd8 0.591 0.441 0.831
Nd9 0.669 0.924 0.070
Nd10 0.831 0.591 0.441
Nd11 0.924 0.070 0.669
Nd12 0.930 0.331 0.076
Hg1 0.000 0.000 0.000
Pd1 0.145 0.618 0.321
Pd2 0.321 0.145 0.618
Pd3 0.382 0.679 0.855
Pd4 0.618 0.321 0.145
Pd5 0.679 0.855 0.382
Pd6 0.855 0.382 0.679

***

# LaTaTe2

An optimized crystal structure of LaTaTe2 (PBE, Alexandria via LeMat-Bulk).

- ΔE_f (raw) (eV per atom) = -0.3704
- total energy (eV per atom) = -6.136
- distance to the lowest polymorph of the same formula (meV per atom) = 166

Cell: 9.009 9.009 9.009 Å, 24.23 24.23 24.23°
Positions (direct):
La1 0.000 0.000 0.000
Ta1 0.500 0.500 0.500
Te1 0.236 0.236 0.236
Te2 0.764 0.764 0.764

***

# Mg5Si6

An optimized crystal structure of Mg5Si6 (PBE, Alexandria via LeMat-Bulk).

- ΔE_f (raw) (eV per atom) = 0.0717
- total energy (eV per atom) = -3.611
- distance to the lowest polymorph of the same formula (meV per atom) = 47

Cell: 4.041 8.705 12.093 Å, 88.45 80.67 89.73°
Positions (direct):
Mg1 0.000 0.000 0.000
Mg2 0.012 0.421 0.966
Mg3 0.160 0.536 0.689
Mg4 0.173 0.955 0.659
Mg5 0.285 0.738 0.437
Mg6 0.303 0.110 0.394
Mg7 0.479 0.727 0.046
Mg8 0.696 0.239 0.604
Mg9 0.872 0.608 0.254
Mg10 0.893 0.244 0.215
Si1 0.061 0.718 0.884
Si2 0.117 0.237 0.771
Si3 0.322 0.417 0.366
Si4 0.415 0.987 0.174
Si5 0.420 0.455 0.155
Si6 0.474 0.217 0.047
Si7 0.581 0.113 0.846
Si8 0.598 0.837 0.806
Si9 0.698 0.726 0.608
Si10 0.755 0.962 0.495
Si11 0.767 0.501 0.483
Si12 0.858 0.913 0.291

***

# Pm4HoEr3Se8

An optimized crystal structure of Pm4HoEr3Se8 (PBE, Alexandria via LeMat-Bulk).

- ΔE_f (raw) (eV per atom) = -1.7707
- total energy (eV per atom) = -5.842

Cell: 8.333 8.333 8.333 Å, 58.57 58.57 58.57°
Positions (direct):
Pm1 0.000 0.000 0.000
Pm2 0.000 0.500 0.500
Pm3 0.500 0.000 0.500
Pm4 0.500 0.500 0.000
Ho1 0.500 0.500 0.500
Er1 0.000 0.000 0.500
Er2 0.000 0.500 0.000
Er3 0.500 0.000 0.000
Se1 0.244 0.745 0.745
Se2 0.245 0.245 0.245
Se3 0.255 0.255 0.756
Se4 0.255 0.756 0.255
Se5 0.745 0.244 0.745
Se6 0.745 0.745 0.244
Se7 0.755 0.755 0.755
Se8 0.756 0.255 0.255

***

Question: Number 1 is which compound?
Answer: RuBr2